# 1
Compound: ZrGeRh2
Source: Alexandria via LeMat-Bulk
Functional: PBE-GGA
Structure: relaxed

Cell: 4.158 4.158 3.725 Å, 90.00 90.00 90.00°
Fractional positions:
Zr (0.000, 0.000, 0.000)
Ge (0.500, 0.500, 0.000)
Rh (0.000, 0.500, 0.500)
Rh (0.500, 0.000, 0.500)

Computed properties:
As for the symmetry: No. 123. The formation energy comes out at -682 meV per atom.

# 2
Compound: Al3ZnCr
Source: Alexandria via LeMat-Bulk
Functional: PBE-GGA
Structure: relaxed

Cell: 4.584 4.584 4.584 Å, 90.00 90.00 90.00°
Fractional positions:
Al (0.000, 0.000, 0.500)
Al (0.000, 0.500, 0.000)
Al (0.500, 0.000, 0.000)
Zn (0.000, 0.000, 0.000)
Cr (0.500, 0.500, 0.500)

Computed properties:
The value obtained for the energy relative to the lowest polymorph listed for this composition is 1088.1 meV/atom. As for the symmetry: No. 221. The formation energy comes out at 1162 meV per atom.

# 3
Compound: FeNiMo2
Source: Alexandria via LeMat-Bulk
Functional: PBE-GGA
Structure: relaxed

Cell: 5.357 5.357 5.357 Å, 103.48 103.48 122.27°
Fractional positions:
Fe (0.000, 0.000, 0.000)
Fe (0.750, 0.250, 0.500)
Ni (0.250, 0.750, 0.500)
Ni (0.500, 0.500, 0.000)
Mo (0.104, 0.625, 0.979)
Mo (0.375, 0.354, 0.479)
Mo (0.646, 0.125, 0.021)
Mo (0.875, 0.896, 0.521)

Computed properties:
The value obtained for the energy relative to the lowest polymorph listed for this composition is 506.7 meV/atom. As for the symmetry: No. 122. The formation energy comes out at 558 meV per atom.

# 4
Compound: GaFeAs2H
Source: Alexandria via LeMat-Bulk
Functional: PBE-GGA
Structure: relaxed

Cell: 4.395 4.395 4.565 Å, 90.00 90.00 90.00°
Fractional positions:
Ga (0.000, 0.000, 0.000)
Fe (0.000, 0.000, 0.500)
As (0.000, 0.500, 0.500)
As (0.500, 0.000, 0.500)
H (0.500, 0.500, 0.000)

Computed properties:
As for the symmetry: No. 123.

Ρ? In order: 9.5, 3.4, 8.9, 5.2 g/cm3.
Uncorrected energy? In order: -30.59, -16.31, -67.35, -21.48 eV/cell.